(1)
# Tb3DySn

An optimized crystal structure of Tb3DySn (GGA-PBE, Alexandria).

```
Tb3DySn
1.0
-5.680 4.196 3.402
5.680 -4.196 3.402
5.680 4.196 -3.402
Tb Dy Sn
6 2 2
direct
0.170 0.991 0.679
0.234 0.031 0.265
0.234 0.469 0.702
0.312 0.491 0.321
0.766 0.531 0.298
0.766 0.969 0.735
0.216 0.719 0.997
0.722 0.219 0.003
0.665 0.480 0.685
0.795 0.980 0.315
```

Computed properties:
The density comes out at 7763 kg/m3. For the formation energy, the calculation gives 0.106 eV/atom. Its total magnetic moment is 0.0000 μB/atom.



(2)
# Ce2NdSm3Te6

An optimized crystal structure of Ce2NdSm3Te6 (GGA-PBE, Alexandria).

```
Ce2NdSm3Te6
1.0
9.753 -2.222 0.000
9.753 2.222 0.000
-2.132 0.000 8.737
Ce Nd Sm Te
2 1 3 6
direct
0.167 0.167 0.335
0.833 0.833 0.665
0.500 0.500 0.000
0.165 0.165 0.833
0.500 0.500 0.500
0.835 0.835 0.167
0.000 0.000 0.253
0.000 0.000 0.747
0.332 0.332 0.918
0.334 0.334 0.414
0.666 0.666 0.586
0.668 0.668 0.082
```

Computed properties:
The value obtained for the uncorrected formation energy is -1.392 eV/atom. The density comes out at 7196 kg/m3. Its total magnetic moment is 0.2086 μB/atom.



(3)
# Ti20Ge9Sb3

An optimized crystal structure of Ti20Ge9Sb3 (GGA-PBE, Alexandria).

```
Ti20Ge9Sb3
1.0
7.657 0.000 0.000
0.000 5.265 0.000
-0.055 0.000 13.427
Ti Ge Sb
20 9 3
direct
0.000 0.000 0.000
0.008 0.000 0.746
0.132 0.500 0.878
0.152 0.000 0.384
0.258 0.500 0.508
0.260 0.500 0.253
0.392 0.253 0.707
0.392 0.747 0.707
0.393 0.256 0.044
0.393 0.744 0.044
0.507 0.000 0.510
0.519 0.000 0.246
0.627 0.500 0.378
0.653 0.000 0.877
0.757 0.500 0.007
0.762 0.500 0.749
0.880 0.256 0.209
0.880 0.744 0.209
0.891 0.253 0.550
0.891 0.747 0.550
0.080 0.500 0.070
0.084 0.500 0.685
0.192 0.000 0.575
0.503 0.500 0.876
0.578 0.500 0.184
0.583 0.500 0.571
0.691 0.000 0.071
0.693 0.000 0.683
0.999 0.500 0.379
0.189 0.000 0.182
0.280 0.000 0.876
0.779 0.000 0.380
```

Computed properties:
The value obtained for the uncorrected formation energy is -0.629 eV/atom. The density comes out at 6062 kg/m3. Its total magnetic moment is 0.0000 μB/atom.



(4)
# Ho3Mg3Zn2

An optimized crystal structure of Ho3Mg3Zn2 (GGA-PBE, Alexandria).

```
Ho3Mg3Zn2
1.0
7.771 0.000 0.000
-3.886 6.730 0.000
0.000 0.000 3.759
Ho Mg Zn
3 3 2
direct
0.000 0.586 0.000
0.414 0.414 0.000
0.586 0.000 0.000
0.000 0.233 0.500
0.233 0.000 0.500
0.767 0.767 0.500
0.333 0.667 0.500
0.667 0.333 0.500
```

Computed properties:
The density comes out at 5900 kg/m3. For the formation energy, the calculation gives -0.154 eV/atom. Its total magnetic moment is 0.0006 μB/atom.



(5)
# CeNd2Ga2Cu2

An optimized crystal structure of CeNd2Ga2Cu2 (GGA-PBE, Alexandria).

```
CeNd2Ga2Cu2
1.0
2.221 1.282 9.417
-2.221 1.282 9.417
0.000 -2.564 9.417
Ce Nd Ga Cu
1 2 2 2
direct
0.000 0.000 0.000
0.123 0.123 0.123
0.877 0.877 0.877
0.268 0.268 0.268
0.732 0.732 0.732
0.395 0.395 0.395
0.605 0.605 0.605
```

Computed properties:
The density comes out at 7175 kg/m3. For the formation energy, the calculation gives -0.351 eV/atom. Its total magnetic moment is 0.0821 μB/atom.



(6)
# NdDy2Rh

An optimized crystal structure of NdDy2Rh (GGA-PBE, Alexandria).

```
NdDy2Rh
1.0
3.696 0.000 0.000
-1.848 3.201 0.000
0.000 0.000 31.718
Nd Dy Rh
3 6 3
direct
0.000 0.000 0.000
0.333 0.667 0.667
0.667 0.333 0.333
0.000 0.000 0.113
0.000 0.000 0.887
0.333 0.667 0.554
0.333 0.667 0.780
0.667 0.333 0.220
0.667 0.333 0.446
0.000 0.000 0.500
0.333 0.667 0.167
0.667 0.333 0.833
```

Computed properties:
The density comes out at 7595 kg/m3. The value obtained for the energy above the most stable polymorph in this dataset is 309 meV per atom. For the formation energy, the calculation gives -0.186 eV/atom. Its total magnetic moment is 0.0020 μB/atom.



(7)
# LaZnNiSn

An optimized crystal structure of LaZnNiSn (GGA-PBE, Alexandria).

```
LaZnNiSn
1.0
6.902 0.000 0.000
0.000 6.902 0.000
0.000 0.000 6.902
La Zn Ni Sn
4 4 4 4
direct
0.000 0.000 0.000
0.000 0.500 0.500
0.500 0.000 0.500
0.500 0.500 0.000
0.250 0.250 0.750
0.250 0.750 0.250
0.750 0.250 0.250
0.750 0.750 0.750
0.250 0.250 0.250
0.250 0.750 0.750
0.750 0.250 0.750
0.750 0.750 0.250
0.000 0.000 0.500
0.000 0.500 0.000
0.500 0.000 0.000
0.500 0.500 0.500
```

Computed properties:
The density comes out at 7712 kg/m3. For the formation energy, the calculation gives -0.376 eV/atom. Its total magnetic moment is 0.0000 μB/atom.



(8)
# Hf2BAuO

An optimized crystal structure of Hf2BAuO (GGA-PBE, Alexandria).

```
Hf2BAuO
1.0
4.228 0.000 0.000
0.000 4.228 0.000
0.000 0.000 4.463
Hf B Au O
2 1 1 1
direct
0.000 0.500 0.000
0.500 0.000 0.000
0.000 0.000 0.500
0.500 0.500 0.500
0.500 0.500 0.000
```

Computed properties:
The value obtained for the uncorrected formation energy is -0.118 eV/atom. The density comes out at 12084 kg/m3. Its total magnetic moment is 0.0000 μB/atom.



(9)
# SiBP2Au

An optimized crystal structure of SiBP2Au (GGA-PBE, Alexandria).

```
SiBP2Au
1.0
10.072 0.000 0.000
0.000 3.442 0.000
-1.859 0.000 4.586
Si B P Au
2 2 4 2
direct
0.000 0.000 0.000
0.500 0.500 0.000
0.336 0.000 0.371
0.836 0.500 0.371
0.161 0.000 0.456
0.309 0.500 0.132
0.661 0.500 0.456
0.809 0.000 0.132
0.065 0.500 0.719
0.565 0.000 0.719
```

Computed properties:
The value obtained for the uncorrected formation energy is 0.082 eV/atom. The density comes out at 6220 kg/m3. The value obtained for the energy above the most stable polymorph in this dataset is 186 meV per atom. Its total magnetic moment is 0.0000 μB/atom.



(10)
# Hf2TaP

An optimized crystal structure of Hf2TaP (GGA-PBE, Alexandria).

```
Hf2TaP
1.0
7.899 0.000 0.000
0.000 7.899 0.000
0.000 0.000 5.135
Hf Ta P
8 4 4
direct
0.185 0.750 0.125
0.250 0.185 0.875
0.250 0.315 0.375
0.315 0.750 0.625
0.685 0.250 0.625
0.750 0.685 0.375
0.750 0.815 0.875
0.815 0.250 0.125
0.000 0.000 0.500
0.000 0.500 0.750
0.500 0.000 0.250
0.500 0.500 0.000
0.000 0.000 0.000
0.000 0.500 0.250
0.500 0.000 0.750
0.500 0.500 0.500
```

Computed properties:
The density comes out at 11796 kg/m3. For the formation energy, the calculation gives -0.007 eV/atom. Its total magnetic moment is 0.0000 μB/atom.



(11)
# InTcGe2Br

An optimized crystal structure of InTcGe2Br (GGA-PBE, Alexandria).

```
InTcGe2Br
1.0
4.791 0.000 0.000
0.000 4.791 0.000
0.000 0.000 5.412
In Tc Ge Br
1 1 2 1
direct
0.000 0.000 0.000
0.000 0.000 0.500
0.000 0.500 0.500
0.500 0.000 0.500
0.500 0.500 0.000
```

Computed properties:
The value obtained for the uncorrected formation energy is -0.043 eV/atom. The density comes out at 5855 kg/m3. Its total magnetic moment is 0.0000 μB/atom.



(12)
# CePmTl

An optimized crystal structure of CePmTl (GGA-PBE, Alexandria).

```
CePmTl
1.0
3.785 0.000 0.000
0.000 5.258 0.000
0.000 0.000 5.365
Ce Pm Tl
1 1 1
direct
0.000 0.000 0.000
0.000 0.500 0.500
0.500 0.000 0.500
```

Computed properties:
The density comes out at 7614 kg/m3. The value obtained for the energy above the most stable polymorph in this dataset is 318 meV per atom. For the formation energy, the calculation gives 0.109 eV/atom. Its total magnetic moment is 0.7102 μB/atom.



- What is the formula in the eleventh record?
  InTcGe2Br



- What is the formula in the third record?
  Ti20Ge9Sb3